Compound: LaYAs2
Source: Alexandria via LeMat-Bulk
Functional: PBE-GGA
Structure: optimized geometry

```
LaYAs2
1.0
-2.733 -5.132 2.919
3.228 -4.795 2.986
-0.362 6.485 -0.386
Y As La
1 2 1
Cartesian
-1.424 -1.805 2.743
0.000 0.000 0.000
1.557 -1.637 2.776
0.247 -4.964 2.953
```

Properties
**Volume**: 103.1 Å³ per cell
**Crystal system**: tetragonal
**Formation enthalpy at 0 K**: -1.067 eV per atom
**Electronic total energy**: -6.24 eV/atom
**Size of the total moment**: 0.0 μB per formula unit
**Density**: 6.1 Mg/m³
**Energy relative to the lowest polymorph listed for this composition**: 1.957 eV/f.u.